Density functional theory data (PBE) for RbBa2Bi2 after structural relaxation.

Cell and atoms, written as POSCAR:
```
RbBa2Bi2
1.0
6.5744 0.0000 0.0000
0.0000 6.5744 0.0000
3.2872 3.2872 6.4875
Bi Rb Ba
2 1 2
direct
0.7500 0.2500 0.5000 Bi
0.2500 0.7500 0.5000 Bi
0.0000 0.0000 0.0000 Rb
0.3272 0.3272 0.3456 Ba
0.6728 0.6728 0.6544 Ba
```

Theoretical density   4.61 Mg/m³
E_form   -470 meV/atom
Relative energy among the computed polymorphs   251 meV per atom